# MgIn4Rh2 (PBE, optimized geometry)
data_MgIn4Rh2
_chemical_formula_sum 'Mg3 In12 Rh6'
_space_group_name_H-M_alt 'R -3 m'
_space_group_IT_number 166
_space_group_name_Hall '-R 3 2"'
_cell_length_a 4.4952
_cell_length_b 4.4952
_cell_length_c 27.2845
_cell_angle_alpha 90.00
_cell_angle_beta 90.00
_cell_angle_gamma 120.00
loop_
_atom_site_label
_atom_site_fract_x
_atom_site_fract_y
_atom_site_fract_z
Mg1 0.0000 0.0000 0.0000
In1 0.0000 0.0000 0.1994
In2 0.0000 0.0000 0.3993
Rh1 0.0000 0.0000 0.0969
# Crystal system: trigonal
# Uncorrected energy: -87.050 eV/cell
# Energy relative to the elements: -24.3 kJ per mole of atoms